No. 1
CrTeCl2, optimized geometry, DFT PBEsol; Fermi-level density of states = 1.46 states/eV/cell; raw formation energy = -0.386 eV/atom; energy above the lowest structure with this stoichiometry = 0.049 eV per atom; space group = Immm; raw total energy = -4.832 eV/atom
1.0
-1.5340 2.9528 5.4690
1.5340 -2.9528 5.4690
1.5340 2.9528 -5.4690
Cr Te Cl
1 1 2
direct
0.0000 0.0000 0.0000
0.5000 0.5000 0.0000
0.1586 0.6586 0.5000
0.8414 0.3414 0.5000

No. 2
CrTeCl2, optimized geometry, DFT PBEsol; Fermi-level density of states = 1.52 states/eV/cell; raw formation energy = -0.435 eV/atom; energy above the lowest structure with this stoichiometry = 0.000 eV per atom; space group = P2/m; raw total energy = -4.881 eV/atom
1.0
3.2412 0.0000 0.0000
0.0000 3.1733 0.0000
-1.2774 0.0000 10.0770
Cr Te Cl
1 1 2
direct
0.0000 0.0000 0.0000
0.5000 0.0000 0.5000
0.1617 0.5000 0.8499
0.8383 0.5000 0.1501

No. 3
CrTeCl3, optimized geometry, DFT PBEsol; Fermi-level density of states = 4.77 states/eV/cell; raw formation energy = -0.247 eV/atom; space group = Pm-3m; raw total energy = -4.205 eV/atom
1.0
4.7850 0.0000 0.0000
0.0000 4.7850 0.0000
0.0000 0.0000 4.7850
Cr Te Cl
1 1 3
direct
0.0000 0.0000 0.0000
0.5000 0.5000 0.5000
0.0000 0.0000 0.5000
0.0000 0.5000 0.0000
0.5000 0.0000 0.0000

No. 4
CrTeCl2, optimized geometry, DFT PBEsol; Fermi-level density of states = 2.03 states/eV/cell; raw formation energy = 0.041 eV/atom; energy above the lowest structure with this stoichiometry = 0.477 eV per atom; space group = Pmmm; raw total energy = -4.405 eV/atom
1.0
3.2440 0.0000 0.0000
0.0000 4.5297 0.0000
0.0000 0.0000 5.6481
Cr Te Cl
1 1 2
direct
0.0000 0.0000 0.0000
0.5000 0.0000 0.5000
0.0000 0.5000 0.5000
0.5000 0.5000 0.0000

No. 5
CrTeCl, optimized geometry, DFT PBEsol; Fermi-level density of states = 1.61 states/eV/cell; raw formation energy = 0.694 eV/atom; space group = F-43m; raw total energy = -4.565 eV/atom
1.0
0.0000 3.3049 3.3049
3.3049 0.0000 3.3049
3.3049 3.3049 0.0000
Cr Te Cl
1 1 1
direct
0.0000 0.0000 0.0000
0.5000 0.5000 0.5000
0.7500 0.7500 0.7500

No. 6
CrTe2Cl, optimized geometry, DFT PBEsol; Fermi-level density of states = 5.09 states/eV/cell; raw formation energy = 0.188 eV/atom; energy above the lowest structure with this stoichiometry = 0.000 eV per atom; space group = I-42d; raw total energy = -4.637 eV/atom
1.0
-3.3391 3.3391 5.5392
3.3391 -3.3391 5.5392
3.3391 3.3391 -5.5392
Cr Te Cl
2 4 2
direct
0.0000 0.0000 0.0000
0.7500 0.2500 0.5000
0.0482 0.6250 0.9232
0.3750 0.2982 0.4232
0.7018 0.1250 0.0768
0.8750 0.9518 0.5768
0.2500 0.7500 0.5000
0.5000 0.5000 0.0000

No. 7
CrTeCl2, optimized geometry, DFT PBEsol; Fermi-level density of states = 4.71 states/eV/cell; raw formation energy = -0.421 eV/atom; energy above the lowest structure with this stoichiometry = 0.014 eV per atom; space group = R-3m; raw total energy = -4.867 eV/atom
1.0
1.6772 0.9683 10.4038
-1.6772 0.9683 10.4038
0.0000 -1.9366 10.4038
Cr Te Cl
1 1 2
direct
0.0000 0.0000 0.0000
0.5000 0.5000 0.5000
0.3798 0.3798 0.3798
0.6202 0.6202 0.6202

No. 8
TlCrCl2, optimized geometry, DFT PBEsol; Fermi-level density of states = 1.88 states/eV/cell; raw formation energy = -0.491 eV/atom; energy above the lowest structure with this stoichiometry = 0.000 eV per atom; space group = Cmmm; raw total energy = -4.713 eV/atom
1.0
1.7237 -3.0770 0.0000
1.7237 3.0770 0.0000
0.0000 0.0000 9.0752
Tl Cr Cl
1 1 2
direct
0.0000 0.0000 0.0000
0.0000 0.0000 0.5000
0.5000 0.5000 0.3204
0.5000 0.5000 0.6796

No. 9
TlCrCl2, optimized geometry, DFT PBEsol; Fermi-level density of states = 1.45 states/eV/cell; raw formation energy = -0.209 eV/atom; energy above the lowest structure with this stoichiometry = 0.282 eV per atom; space group = P4/mmm; raw total energy = -4.431 eV/atom
1.0
5.0234 0.0000 0.0000
0.0000 5.0234 0.0000
0.0000 0.0000 3.5439
Tl Cr Cl
1 1 2
direct
0.0000 0.0000 0.0000
0.5000 0.5000 0.0000
0.0000 0.5000 0.5000
0.5000 0.0000 0.5000

No. 10
TlCrCl3, optimized geometry, DFT PBEsol; Fermi-level density of states = 0.80 states/eV/cell; raw formation energy = -0.922 eV/atom; energy above the lowest structure with this stoichiometry = 0.000 eV per atom; space group = Pm-3m; raw total energy = -4.701 eV/atom
1.0
4.8564 0.0000 0.0000
0.0000 4.8564 0.0000
0.0000 0.0000 4.8564
Tl Cr Cl
1 1 3
direct
0.0000 0.0000 0.0000
0.5000 0.5000 0.5000
0.0000 0.5000 0.5000
0.5000 0.0000 0.5000
0.5000 0.5000 0.0000

No. 11
TlCrCl3, optimized geometry, DFT PBEsol; Fermi-level density of states = 11.27 states/eV/cell; raw formation energy = 0.060 eV/atom; energy above the lowest structure with this stoichiometry = 0.982 eV per atom; space group = Pm-3m; raw total energy = -3.719 eV/atom
1.0
5.3247 0.0000 0.0000
0.0000 5.3247 0.0000
0.0000 0.0000 5.3247
Tl Cr Cl
1 1 3
direct
0.0000 0.0000 0.0000
0.5000 0.5000 0.5000
0.0000 0.0000 0.5000
0.0000 0.5000 0.0000
0.5000 0.0000 0.0000

No. 12
CrWCl, optimized geometry, DFT PBEsol; Fermi-level density of states = 2.62 states/eV/cell; raw formation energy = 0.604 eV/atom; space group = I4mm; raw total energy = -8.082 eV/atom
1.0
-1.4315 1.4315 5.2814
1.4315 -1.4315 5.2814
1.4315 1.4315 -5.2814
Cr W Cl
1 1 1
direct
0.0000 0.0000 0.0000
0.6534 0.6534 0.0000
0.3270 0.3270 0.0000

No. 13
CrW2Cl, optimized geometry, DFT PBEsol; Fermi-level density of states = 3.11 states/eV/cell; raw formation energy = 0.516 eV/atom; energy above the lowest structure with this stoichiometry = 0.057 eV per atom; space group = P4/mmm; raw total energy = -9.450 eV/atom
1.0
2.8860 0.0000 0.0000
0.0000 2.8860 0.0000
0.0000 0.0000 6.8238
Cr W Cl
1 2 1
direct
0.0000 0.0000 0.0000
0.5000 0.5000 0.2260
0.5000 0.5000 0.7740
0.0000 0.0000 0.5000

No. 14
CrW2Cl, optimized geometry, DFT PBEsol; Fermi-level density of states = 2.66 states/eV/cell; raw formation energy = 0.653 eV/atom; energy above the lowest structure with this stoichiometry = 0.194 eV per atom; space group = Pmm2; raw total energy = -9.313 eV/atom
1.0
3.0899 0.0000 0.0000
0.0000 3.6036 0.0000
0.0000 0.0000 6.4961
Cr W Cl
1 2 1
direct
0.0000 0.0000 0.0000
0.0000 0.0000 0.3412
0.5000 0.5000 0.1555
0.5000 0.5000 0.7702